P2PdSF: relaxed, PBE.

abc: 4.0376 4.0376 5.0836
angles: 90.00 90.00 90.00
Atoms (fractional coordinates):
P 0.5000 0.0000 0.0000
S 0.0000 0.0000 0.5000
P 0.0000 0.5000 0.0000
Pd 0.5000 0.5000 0.5000
F 0.0000 0.0000 0.0000

Summary:
The symmetry is P4/mmm, No. 123. Its volume is 16.6 Å³/atom. The offset from the most stable computed form is 41 meV per atom.